[1]
Computed, not measured: a relaxed structure of Lu3CuC2 at the PBE level of DFT.

The structure in extended XYZ format:
```
12
Lattice="3.529 0.000 0.000 -1.764 3.056 0.000 0.000 0.000 19.451" Properties=species:S:1:pos:R:3 pbc="T T T"
C 0.000 2.037 1.520
C 0.000 2.037 8.206
C 1.764 1.019 11.245
C 1.764 1.019 17.931
Cu 0.000 0.000 4.863
Cu 0.000 0.000 14.588
Lu 0.000 0.000 0.000
Lu 1.764 1.019 2.657
Lu 1.764 1.019 7.068
Lu 0.000 0.000 9.725
Lu 0.000 2.037 12.382
Lu 0.000 2.037 16.794
```

Calculated values
mass density	9.7	g/cm³
energy	-6.24	eV/atom
symmetry	P6_3/mmc, No. 194



[2]
Computed, not measured: a relaxed structure of RbAgSnSe2S at the PBE level of DFT.

The structure in extended XYZ format:
```
12
Lattice="3.686 4.391 5.185 -4.870 -5.791 -1.580 8.380 -7.051 0.014" Properties=species:S:1:pos:R:3 pbc="T T T"
Ag 2.008 -1.862 2.205
Ag 5.188 -6.588 1.414
Rb -0.485 -4.828 0.234
Rb 7.681 -3.622 3.384
S 5.372 2.142 4.865
S 1.824 -10.593 -1.247
Se 0.731 0.385 2.658
Se 4.439 -2.735 2.664
Se 2.757 -5.716 0.954
Se 6.465 -8.836 0.960
Sn 0.000 0.000 0.000
Sn 4.190 -3.525 0.007
```

Calculated values
mass density	5.0	g/cm³
energy	-3.63	eV/atom
symmetry	Cmcm, No. 63



[3]
Computed, not measured: a relaxed structure of Er2TmSc3CuS2 at the PBE level of DFT.

The structure in extended XYZ format:
```
9
Lattice="-2.311 1.980 2.200 -5.930 -3.433 -3.139 3.279 -2.959 6.107" Properties=species:S:1:pos:R:3 pbc="T T T"
Cu -0.003 -0.007 0.003
Er -3.989 -5.183 0.474
Er -0.230 -4.989 4.248
S -4.013 -2.284 1.044
S -0.947 -2.126 4.122
Sc -2.646 0.125 0.312
Sc -0.332 0.244 2.636
Sc -3.139 -3.794 3.321
Tm -1.080 -2.604 1.209
```

Calculated values
mass density	6.9	g/cm³
energy	-5.71	eV/atom
symmetry	Amm2, No. 38